The following is a meta-GGA SCAN calculation of a crystal of Ta2CoHg relaxed with PBEsol, from the Alexandria database.

Cell lengths 3.5168, 4.2737, 8.4596 Å; angles 90.00, 90.00, 90.00 degrees
Space group Immm (No. 71)
Unique sites:
Ta (0.0000, 0.0000, 0.2346) [4 per cell]
Co (0.0000, 0.5000, 0.5000) [2 per cell]
Hg (0.0000, 0.5000, 0.0000) [2 per cell]

Results
Total moment   2.3 μB/cell


The following is a meta-GGA SCAN calculation of a crystal of TlCd3 relaxed with PBEsol, from the Alexandria database.

Cell lengths 5.7137, 5.7137, 5.7137 Å; angles 90.00, 90.00, 90.00 degrees
Space group Pm-3n (No. 223)
Unique sites:
Tl (0.0000, 0.0000, 0.0000) [2 per cell]
Cd (0.0000, 0.2500, 0.5000) [6 per cell]

Results
Total moment   0.0 μB/cell


Values for VASP energy, eV per atom, ordered as above
-54.495 -40.795
Values for energy of formation from the pure elements, kcal/mol of atoms, ordered as above
3.8 2.4